w) Compound: Ho2HgP
Source: the Alexandria database
Functional: PBE
Structure: optimized geometry

Values from the calculation:
* crystal system: trigonal
* total magnetic moment: 0.0 μB per formula unit
* mass density: 9.3 g cm⁻³

```
Ho2HgP
1.0
1.941 1.121 7.705
-1.941 1.121 7.705
0.000 -2.241 7.705
Ho Hg P
2 1 1
Direct
0.236 0.236 0.236
0.764 0.764 0.764
0.000 0.000 0.000
0.500 0.500 0.500
```

=====

x) Compound: Ho2HgP
Source: the Alexandria database
Functional: PBE
Structure: optimized geometry

Values from the calculation:
* crystal system: trigonal
* total magnetic moment: 0.0 μB per formula unit
* mass density: 9.3 g cm⁻³

```
Ho2HgP
1.0
1.939 1.119 7.725
-1.939 1.119 7.725
0.000 -2.239 7.725
Ho Hg P
2 1 1
Direct
0.000 0.000 0.000
0.196 0.196 0.196
0.430 0.430 0.430
0.599 0.599 0.599
```

=====

Looking at the structures above, w) is most stable, and the difference to the next one is 0.044 eV/atom.